[1]
# NiHgP2 GGA-PBEsol optimized geometry
data_NiHgP2
_space_group_name_H-M_alt 'I 4/m m m'
_space_group_IT_number 139
_space_group_name_Hall '-I 4 2'
_cell_length_a 3.6547
_cell_length_b 3.6547
_cell_length_c 9.1552
_cell_angle_alpha 90.00
_cell_angle_beta 90.00
_cell_angle_gamma 90.00
loop_
_atom_site_label
_atom_site_type_symbol
_atom_site_fract_x
_atom_site_fract_y
_atom_site_fract_z
_atom_site_occupancy
Ni1 Ni 0.0000 0.0000 0.0000 1
Hg1 Hg 0.0000 0.0000 0.5000 1
P1 P 0.0000 0.5000 0.2500 1
# - total moment (μB/f.u.) = 0.00
# - DFT formation energy (eV per formula unit) = 1.95

---

[2]
# TaAl2Zn GGA-PBEsol optimized geometry
data_TaAl2Zn
_space_group_name_H-M_alt 'P 4/m m m'
_space_group_IT_number 123
_space_group_name_Hall '-P 4 2'
_cell_length_a 3.9621
_cell_length_b 3.9621
_cell_length_c 3.8565
_cell_angle_alpha 90.00
_cell_angle_beta 90.00
_cell_angle_gamma 90.00
loop_
_atom_site_label
_atom_site_type_symbol
_atom_site_fract_x
_atom_site_fract_y
_atom_site_fract_z
_atom_site_occupancy
Ta1 Ta 0.0000 0.0000 0.0000 1
Al1 Al 0.0000 0.5000 0.5000 1
Zn1 Zn 0.5000 0.5000 0.0000 1
# - total moment (μB/f.u.) = 0.00
# - DFT formation energy (eV per formula unit) = -0.68

---

Among the records above, which one has the lowest DFT formation energy? TaAl2Zn